Entry 1:
The following is a DFT calculation (PBE) of a relaxed structure of Ca2CoPbCl.

Unit cell a=5.2441 b=5.4904 c=5.2441 alpha=90.00 beta=90.00 gamma=90.00
With the nearest neighbours (Å) after each atom.
Fractional coordinates of all 5 atoms:
Cl 0.0000 0.0000 0.0000  4 Ca 2.62, 2 Pb 2.75
Ca 0.0000 0.0000 0.5000  2 Cl 2.62
Ca 0.5000 0.0000 0.0000  2 Cl 2.62
Pb 0.0000 0.5000 0.0000  2 Cl 2.75
Co 0.5000 0.5000 0.5000  4 Pb 3.71, 8 Ca 3.80

Results
- total magnetization (μB per formula unit) = 1.73
- calculated density (g/cm³) = 4.2
- formation energy without anion corrections (eV/atom) = 0.119

***

Entry 2:
The following is a DFT calculation (PBE) of a relaxed structure of Tl4Bi.

Unit cell a=14.3460 b=14.3460 c=14.3460 alpha=14.23 beta=14.23 gamma=14.23
With the nearest neighbours (Å) after each atom.
Fractional coordinates of all 5 atoms:
Tl 0.8005 0.8005 0.8005  12 Tl 3.47-3.55
Tl 0.6000 0.6000 0.6000  3 Bi 3.50, 9 Tl 3.52-3.55
Tl 0.1995 0.1995 0.1995  12 Tl 3.47-3.55
Tl 0.4000 0.4000 0.4000  3 Bi 3.50, 9 Tl 3.52-3.55
Bi 0.0000 0.0000 0.0000  6 Tl 3.50, 6 Bi 3.55

Results
- energy above the most stable polymorph in this dataset (meV per atom) = 1
- total magnetization (μB per formula unit) = 0.00
- calculated density (g/cm³) = 11.0
- formation energy (eV/atom) = 0.00

***

Entry 3:
The following is a DFT calculation (PBE) of a relaxed structure of LiPaRh2O6.

Unit cell a=4.2907 b=5.8591 c=5.8591 alpha=90.00 beta=90.00 gamma=90.00
With the nearest neighbours (Å) after each atom.
Fractional coordinates of all 10 atoms:
O 0.7617 0.7609 0.2391  1 Li 2.00, 2 Rh 2.09, 1 Pa 2.21
O 0.7617 0.7609 0.7609  1 Li 2.00, 2 Rh 2.09, 1 Pa 2.21
O 0.7617 0.2391 0.2391  1 Li 2.00, 2 Rh 2.09, 1 Pa 2.21
O 0.7617 0.2391 0.7609  1 Li 2.00, 2 Rh 2.09, 1 Pa 2.21
O 0.2147 0.0000 0.0000  2 Li 2.10-2.19
O 0.1796 0.5000 0.5000  2 Pa 2.06-2.23
Li 0.7042 0.0000 0.0000  6 O 2.00-2.19
Pa 0.6604 0.5000 0.5000  6 O 2.06-2.23
Rh 0.8206 0.0000 0.5000  4 O 2.09
Rh 0.8206 0.5000 0.0000  4 O 2.09

Results
- total magnetization (μB per formula unit) = 4.14
- calculated density (g/cm³) = 6.1
- formation energy without anion corrections (eV/atom) = -1.228

***

Entry 4:
The following is a DFT calculation (PBE) of a relaxed structure of HfP.

Unit cell a=3.6645 b=3.6645 c=12.4319 alpha=90.00 beta=90.00 gamma=120.00
With the nearest neighbours (Å) after each atom.
Fractional coordinates of all 8 atoms:
Hf 0.3333 0.6667 0.3841  6 P 2.56-2.69
Hf 0.6667 0.3333 0.8841  6 P 2.56-2.69
Hf 0.3333 0.6667 0.1159  6 P 2.56-2.69
Hf 0.6667 0.3333 0.6159  6 P 2.56-2.69
P 0.6667 0.3333 0.2500  6 Hf 2.69
P 0.0000 0.0000 0.0000  6 Hf 2.56
P 0.0000 0.0000 0.5000  6 Hf 2.56
P 0.3333 0.6667 0.7500  6 Hf 2.69

Results
- total magnetization (μB per formula unit) = 0.00
- calculated density (g/cm³) = 9.6
- formation energy (eV/atom) = -1.30